Record 1
# PBE-GGA LiHoHfFe, optimized geometry
data_LiHoHfFe
_chemical_formula_sum 'Li4 Ho4 Hf4 Fe4'
_cell_length_a 6.578
_cell_length_b 6.578
_cell_length_c 6.578
_cell_angle_alpha 90.00
_cell_angle_beta 90.00
_cell_angle_gamma 90.00
_space_group_name_H-M_alt 'F -4 3 m'
_space_group_IT_number 216
_space_group_name_Hall 'F -4 2 3'
loop_
_atom_site_label
_atom_site_fract_x
_atom_site_fract_y
_atom_site_fract_z
Li1 0.000 0.000 0.000
Ho1 0.250 0.250 0.750
Hf1 0.250 0.250 0.250
Fe1 0.000 0.000 0.500
# Calculated volume (Å³ per atom): 17.79
# M_tot (μB per cell): 0.0
# Energy of formation (meV per atom): 41

***

Record 2
# PBE-GGA LiSc2Tl, optimized geometry
data_LiSc2Tl
_chemical_formula_sum 'Li1 Sc2 Tl1'
_cell_length_a 4.688
_cell_length_b 4.688
_cell_length_c 3.976
_cell_angle_alpha 90.00
_cell_angle_beta 90.00
_cell_angle_gamma 90.00
_space_group_name_H-M_alt 'P 4/m m m'
_space_group_IT_number 123
_space_group_name_Hall '-P 4 2'
loop_
_atom_site_label
_atom_site_fract_x
_atom_site_fract_y
_atom_site_fract_z
Li1 0.000 0.000 0.000
Sc1 0.000 0.500 0.500
Tl1 0.500 0.500 0.000
# Calculated volume (Å³ per atom): 21.85
# M_tot (μB per cell): 0.0
# Energy of formation (meV per atom): -165

***

Record 3
# PBE-GGA HfTa2TeP, optimized geometry
data_HfTa2TeP
_chemical_formula_sum 'Hf1 Ta2 Te1 P1'
_cell_length_a 4.970
_cell_length_b 4.970
_cell_length_c 5.260
_cell_angle_alpha 90.00
_cell_angle_beta 90.00
_cell_angle_gamma 90.00
_space_group_name_H-M_alt 'P 4/m m m'
_space_group_IT_number 123
_space_group_name_Hall '-P 4 2'
loop_
_atom_site_label
_atom_site_fract_x
_atom_site_fract_y
_atom_site_fract_z
Hf1 0.000 0.000 0.000
Ta1 0.000 0.500 0.500
Te1 0.000 0.000 0.500
P1 0.500 0.500 0.000
# Calculated volume (Å³ per atom): 25.99
# M_tot (μB per cell): 0.0
# ΔE_f (raw) (eV/atom): 1.79

***

Record 4
# PBE-GGA UCu2Si2, optimized geometry
data_UCu2Si2
_chemical_formula_sum 'U2 Cu4 Si4'
_cell_length_a 4.046
_cell_length_b 4.028
_cell_length_c 9.712
_cell_angle_alpha 90.00
_cell_angle_beta 90.63
_cell_angle_gamma 90.00
_space_group_name_H-M_alt 'P 1 21/m 1'
_space_group_IT_number 11
_space_group_name_Hall '-P 2yb'
loop_
_atom_site_label
_atom_site_fract_x
_atom_site_fract_y
_atom_site_fract_z
U1 0.242 0.250 0.251
Cu1 0.254 0.750 0.500
Cu2 0.282 0.250 0.874
Si1 0.216 0.750 0.000
Si2 0.250 0.250 0.635
# Calculated volume (Å³ per atom): 15.83
# M_tot (μB per cell): 4.5
# ΔE_f (raw) (eV/atom): -0.25

***

Record 5
# PBE-GGA La4CdNi2, optimized geometry
data_La4CdNi2
_chemical_formula_sum 'La8 Cd2 Ni4'
_cell_length_a 7.090
_cell_length_b 7.099
_cell_length_c 8.984
_cell_angle_alpha 107.26
_cell_angle_beta 107.26
_cell_angle_gamma 104.33
_space_group_name_H-M_alt 'P 1'
_space_group_IT_number 1
_space_group_name_Hall 'P 1'
loop_
_atom_site_label
_atom_site_fract_x
_atom_site_fract_y
_atom_site_fract_z
La1 0.000 0.000 0.000
La2 0.021 0.715 0.581
La3 0.094 0.287 0.726
La4 0.256 0.604 0.193
La5 0.497 0.551 0.582
La6 0.571 0.125 0.730
La7 0.654 0.155 0.309
La8 0.718 0.569 0.117
Cd1 0.150 0.042 0.385
Cd2 0.415 0.811 0.924
Ni1 0.040 0.371 0.329
Ni2 0.367 0.198 0.980
Ni3 0.701 0.854 0.471
Ni4 0.887 0.539 0.839
# Calculated volume (Å³ per atom): 27.39
# M_tot (μB per cell): 0.0
# Energy of formation (meV per atom): -248

***

Record 6
# PBE-GGA Tb3Ga5O12, optimized geometry
data_Tb3Ga5O12
_chemical_formula_sum 'Tb24 Ga40 O96'
_cell_length_a 12.440
_cell_length_b 12.440
_cell_length_c 12.440
_cell_angle_alpha 90.00
_cell_angle_beta 90.00
_cell_angle_gamma 90.00
_space_group_name_H-M_alt 'I a -3 d'
_space_group_IT_number 230
_space_group_name_Hall '-I 4bd 2c 3'
loop_
_atom_site_label
_atom_site_fract_x
_atom_site_fract_y
_atom_site_fract_z
Tb1 0.000 0.250 0.125
Ga1 0.000 0.000 0.000
Ga2 0.000 0.250 0.375
O1 0.027 0.055 0.650
# Calculated volume (Å³ per atom): 12.03
# M_tot (μB per cell): 0.0
# ΔE_f (raw) (eV/atom): -2.55

***

Record 7
# PBE-GGA Ca3AlSi2Au6, optimized geometry
data_Ca3AlSi2Au6
_chemical_formula_sum 'Ca3 Al1 Si2 Au6'
_cell_length_a 6.3533
_cell_length_b 6.3533
_cell_length_c 7.8799
_cell_angle_alpha 90.00
_cell_angle_beta 90.00
_cell_angle_gamma 120.00
_space_group_name_H-M_alt 'P -3 m 1'
_space_group_IT_number 164
_space_group_name_Hall '-P 3 2"'
loop_
_atom_site_label
_atom_site_fract_x
_atom_site_fract_y
_atom_site_fract_z
Ca1 0.0000 0.0000 0.0000
Ca2 0.3333 0.6667 0.6689
Al1 0.0000 0.0000 0.5000
Si1 0.3333 0.6667 0.0618
Au1 0.1789 0.3578 0.2974
# Calculated volume (Å³ per atom): 22.95
# M_tot (μB per cell): 0.0
# ΔE_f (raw) (eV/atom): -0.42

***

Record 8
# PBE-GGA Ac2CeRu2N6, optimized geometry
data_Ac2CeRu2N6
_chemical_formula_sum 'Ac6 Ce3 Ru6 N18'
_cell_length_a 5.8633
_cell_length_b 5.8633
_cell_length_c 18.4862
_cell_angle_alpha 90.00
_cell_angle_beta 90.00
_cell_angle_gamma 120.00
_space_group_name_H-M_alt 'R -3 m'
_space_group_IT_number 166
_space_group_name_Hall '-R 3 2"'
loop_
_atom_site_label
_atom_site_fract_x
_atom_site_fract_y
_atom_site_fract_z
Ac1 0.0000 0.0000 0.2117
Ce1 0.0000 0.0000 0.0000
Ru1 0.0000 0.0000 0.3985
N1 0.0090 0.5045 0.7605
# Calculated volume (Å³ per atom): 16.68
# M_tot (μB per cell): 0.0
# ΔE_f (raw) (eV/atom): -0.53